(1)
The following is a DFT calculation (PBE) of a relaxed TiMnCu2S4 crystal.

Results
The value obtained for the uncorrected formation energy is -0.71 eV/atom. The volume comes out at 155.4 Å³/f.u. The calculation puts the total energy at -5.930 eV/atom.

Geometry as POSCAR:
```
TiMnCu2S4
1.0
-4.584 2.493 -1.416
0.697 -1.622 -5.110
-0.791 -4.876 4.301
S Cu Mn Ti
4 2 1 1
Direct
0.384 0.872 0.256
0.128 0.128 0.744
0.616 0.616 0.744
0.872 0.384 0.256
0.750 0.250 0.500
0.250 0.750 0.500
0.000 0.000 0.000
0.500 0.500 0.000
```

---

(2)
The following is a DFT calculation (PBE) of a relaxed Tb4Ho4Th3 crystal.

Results
The volume comes out at 352.8 Å³/f.u. As for the formation energy: 0.628 eV/f.u. The calculation puts the total energy at -5.315 eV/atom. Its density of states at the Fermi level is 1.654 states/eV/atom.

Geometry as POSCAR:
```
Tb4Ho4Th3
1.0
-3.032 1.537 -1.052
-1.703 -4.930 -2.294
-3.594 -3.507 17.275
Tb Th Ho
4 3 4
Direct
0.940 0.720 0.440
0.696 0.098 0.196
0.304 0.902 0.804
0.060 0.280 0.560
0.738 0.369 0.738
0.000 0.000 0.000
0.262 0.631 0.262
0.379 0.190 0.379
0.621 0.810 0.621
0.592 0.546 0.092
0.408 0.454 0.908
```